(1)
! AcCeSN | the Alexandria database | PBE-GGA | relaxed; values from VASP
&SYSTEM
  ibrav = 0, nat = 12, ntyp = 4
/
ATOMIC_SPECIES
Ac 227.00 Ac.upf
Ce 140.12 Ce.upf
S 32.06 S.upf
N 14.01 N.upf
CELL_PARAMETERS angstrom
3.864 0.000 0.000
-1.932 3.346 0.000
0.000 0.000 20.191
ATOMIC_POSITIONS crystal
Ac 0.000 0.000 0.000
Ac 0.333 0.667 0.667
Ac 0.667 0.333 0.333
Ce 0.000 0.000 0.476
Ce 0.333 0.667 0.142
Ce 0.667 0.333 0.809
S 0.000 0.000 0.232
S 0.333 0.667 0.898
S 0.667 0.333 0.565
N 0.000 0.000 0.751
N 0.333 0.667 0.418
N 0.667 0.333 0.084
! total energy	-28.992	eV per formula unit
! size of the total moment	0.11	μB/atom
! formation energy (no corrections)	-1624	meV/atom
! space-group type	R3m (160)
! DOS(E_F)	1.038	states/eV per atom

***

(2)
! Ac2CeS2N2 | the Alexandria database | PBE-GGA | relaxed; values from VASP
&SYSTEM
  ibrav = 0, nat = 14, ntyp = 4
/
ATOMIC_SPECIES
Ac 227.00 Ac.upf
Ce 140.12 Ce.upf
S 32.06 S.upf
N 14.01 N.upf
CELL_PARAMETERS angstrom
4.493 0.000 0.000
0.000 4.493 0.000
0.000 0.000 15.488
ATOMIC_POSITIONS crystal
Ac 0.000 0.000 0.123
Ac 0.000 0.000 0.877
Ac 0.500 0.500 0.377
Ac 0.500 0.500 0.623
Ce 0.000 0.000 0.500
Ce 0.500 0.500 0.000
S 0.000 0.000 0.319
S 0.000 0.000 0.681
S 0.500 0.500 0.181
S 0.500 0.500 0.819
N 0.000 0.500 0.000
N 0.000 0.500 0.500
N 0.500 0.000 0.000
N 0.500 0.000 0.500
! total energy	-51.126	eV per formula unit
! size of the total moment	0.00	μB/atom
! formation energy (no corrections)	-1724	meV/atom
! space-group type	I4/mmm (139)

***

(3)
! AcCeSe2N | the Alexandria database | PBE-GGA | relaxed; values from VASP
&SYSTEM
  ibrav = 0, nat = 10, ntyp = 4
/
ATOMIC_SPECIES
Ac 227.00 Ac.upf
Ce 140.12 Ce.upf
Se 78.96 Se.upf
N 14.01 N.upf
CELL_PARAMETERS angstrom
4.173 0.000 0.000
0.000 4.173 0.000
0.000 0.000 15.506
ATOMIC_POSITIONS crystal
Ac 0.250 0.250 0.139
Ac 0.750 0.750 0.861
Ce 0.250 0.250 0.568
Ce 0.750 0.750 0.432
Se 0.250 0.250 0.324
Se 0.250 0.250 0.916
Se 0.750 0.750 0.084
Se 0.750 0.750 0.676
N 0.250 0.750 0.500
N 0.750 0.250 0.500
! total energy	-33.732	eV per formula unit
! size of the total moment	0.00	μB/atom
! formation energy (no corrections)	-1679	meV/atom
! space-group type	P4/nmm (129)
! DOS(E_F)	0.131	states/eV per atom

***

(4)
! Ac3CeSi2N6 | the Alexandria database | PBE-GGA | relaxed; values from VASP
&SYSTEM
  ibrav = 0, nat = 12, ntyp = 4
/
ATOMIC_SPECIES
Ac 227.00 Ac.upf
Ce 140.12 Ce.upf
Si 28.09 Si.upf
N 14.01 N.upf
CELL_PARAMETERS angstrom
5.945 0.000 0.000
-2.973 5.149 0.000
0.000 0.000 6.892
ATOMIC_POSITIONS crystal
Ac 0.000 0.000 0.000
Ac 0.333 0.667 0.657
Ac 0.667 0.333 0.343
Ce 0.000 0.000 0.500
Si 0.333 0.667 0.195
Si 0.667 0.333 0.805
N 0.177 0.354 0.294
N 0.177 0.823 0.294
N 0.354 0.177 0.706
N 0.646 0.823 0.294
N 0.823 0.177 0.706
N 0.823 0.646 0.706
! total energy	-92.546	eV per formula unit
! size of the total moment	0.00	μB/atom
! formation energy (no corrections)	-1124	meV/atom
! space-group type	P-3m1 (164)
! DOS(E_F)	0.357	states/eV per atom

***

(5)
! AcCeSm2N4 | the Alexandria database | PBE-GGA | relaxed; values from VASP
&SYSTEM
  ibrav = 0, nat = 8, ntyp = 4
/
ATOMIC_SPECIES
Ac 227.00 Ac.upf
Ce 140.12 Ce.upf
Sm 150.36 Sm.upf
N 14.01 N.upf
CELL_PARAMETERS angstrom
6.333 0.000 0.000
0.000 3.661 0.000
-2.094 0.000 6.005
ATOMIC_POSITIONS crystal
Ac 0.000 0.000 0.000
Ce 0.000 0.500 0.500
Sm 0.500 0.000 0.500
Sm 0.500 0.500 0.000
N 0.251 0.000 0.738
N 0.255 0.500 0.271
N 0.745 0.500 0.729
N 0.749 0.000 0.262
! total energy	-63.471	eV per formula unit
! size of the total moment	0.04	μB/atom
! formation energy (no corrections)	-1336	meV/atom
! space-group type	P2/m (10)
! DOS(E_F)	0.503	states/eV per atom

***

(6)
! AcCeSmN3 | the Alexandria database | PBE-GGA | relaxed; values from VASP
&SYSTEM
  ibrav = 0, nat = 12, ntyp = 4
/
ATOMIC_SPECIES
Ac 227.00 Ac.upf
Ce 140.12 Ce.upf
Sm 150.36 Sm.upf
N 14.01 N.upf
CELL_PARAMETERS angstrom
6.277 0.000 0.000
0.000 3.675 0.000
-1.953 0.000 9.282
ATOMIC_POSITIONS crystal
Ac 0.160 0.250 0.199
Ac 0.840 0.750 0.801
Ce 0.356 0.250 0.853
Ce 0.644 0.750 0.147
Sm 0.267 0.750 0.544
Sm 0.733 0.250 0.456
N 0.049 0.250 0.665
N 0.263 0.750 0.987
N 0.461 0.750 0.344
N 0.539 0.250 0.656
N 0.737 0.250 0.013
N 0.951 0.750 0.335
! total energy	-47.176	eV per formula unit
! size of the total moment	0.15	μB/atom
! formation energy (no corrections)	-1240	meV/atom
! space-group type	P2_1/m (11)
! DOS(E_F)	0.500	states/eV per atom

***

(7)
! AcCe2SmN4 | the Alexandria database | PBE-GGA | relaxed; values from VASP
&SYSTEM
  ibrav = 0, nat = 8, ntyp = 4
/
ATOMIC_SPECIES
Ac 227.00 Ac.upf
Ce 140.12 Ce.upf
Sm 150.36 Sm.upf
N 14.01 N.upf
CELL_PARAMETERS angstrom
6.331 0.000 0.000
0.000 3.645 0.000
-2.108 0.000 5.977
ATOMIC_POSITIONS crystal
Ac 0.000 0.000 0.000
Ce 0.500 0.000 0.500
Ce 0.500 0.500 0.000
Sm 0.000 0.500 0.500
N 0.267 0.000 0.746
N 0.278 0.500 0.270
N 0.722 0.500 0.730
N 0.733 0.000 0.254
! total energy	-64.913	eV per formula unit
! size of the total moment	0.06	μB/atom
! formation energy (no corrections)	-1365	meV/atom
! space-group type	P2/m (10)
! DOS(E_F)	0.557	states/eV per atom

***

(8)
! AcCe3Sm2N6 | the Alexandria database | PBE-GGA | relaxed; values from VASP
&SYSTEM
  ibrav = 0, nat = 12, ntyp = 4
/
ATOMIC_SPECIES
Ac 227.00 Ac.upf
Ce 140.12 Ce.upf
Sm 150.36 Sm.upf
N 14.01 N.upf
CELL_PARAMETERS angstrom
3.145 -5.446 0.000
3.145 5.446 0.000
-2.091 0.000 5.906
ATOMIC_POSITIONS crystal
Ac 0.000 0.000 0.000
Ce 0.168 0.832 0.500
Ce 0.500 0.500 0.500
Ce 0.832 0.168 0.500
Sm 0.334 0.666 0.000
Sm 0.666 0.334 0.000
N 0.090 0.438 0.268
N 0.261 0.261 0.733
N 0.438 0.090 0.268
N 0.562 0.910 0.732
N 0.739 0.739 0.267
N 0.910 0.562 0.732
! total energy	-98.239	eV per formula unit
! size of the total moment	0.01	μB/atom
! formation energy (no corrections)	-1411	meV/atom
! space-group type	C2/m (12)
! DOS(E_F)	0.651	states/eV per atom

***

(9)
! Ac2Ce4Sn3N2 | the Alexandria database | PBE-GGA | relaxed; values from VASP
&SYSTEM
  ibrav = 0, nat = 11, ntyp = 4
/
ATOMIC_SPECIES
Ac 227.00 Ac.upf
Ce 140.12 Ce.upf
Sn 118.71 Sn.upf
N 14.01 N.upf
CELL_PARAMETERS angstrom
-2.417 2.417 13.434
2.417 -2.417 13.434
2.417 2.417 -13.434
ATOMIC_POSITIONS crystal
Ac 0.195 0.195 0.000
Ac 0.805 0.805 0.000
Ce 0.082 0.582 0.500
Ce 0.418 0.918 0.500
Ce 0.582 0.082 0.500
Ce 0.918 0.418 0.500
Sn 0.329 0.329 0.000
Sn 0.500 0.500 0.000
Sn 0.671 0.671 0.000
N 0.098 0.098 0.000
N 0.902 0.902 0.000
! total energy	-70.516	eV per formula unit
! size of the total moment	0.27	μB/atom
! formation energy (no corrections)	-900	meV/atom
! space-group type	I4/mmm (139)
! DOS(E_F)	1.883	states/eV per atom

***

(10)
! Sr3AcCe2N6 | the Alexandria database | PBE-GGA | relaxed; values from VASP
&SYSTEM
  ibrav = 0, nat = 12, ntyp = 4
/
ATOMIC_SPECIES
Sr 87.62 Sr.upf
Ac 227.00 Ac.upf
Ce 140.12 Ce.upf
N 14.01 N.upf
CELL_PARAMETERS angstrom
8.206 -1.845 0.000
8.206 1.845 0.000
-1.671 0.000 7.233
ATOMIC_POSITIONS crystal
Sr 0.000 0.000 0.000
Sr 0.330 0.330 0.669
Sr 0.670 0.670 0.331
Ac 0.000 0.000 0.500
Ce 0.330 0.330 0.162
Ce 0.670 0.670 0.838
N 0.167 0.167 0.622
N 0.179 0.179 0.060
N 0.490 0.490 0.251
N 0.510 0.510 0.749
N 0.821 0.821 0.940
N 0.833 0.833 0.378
! total energy	-82.999	eV per formula unit
! size of the total moment	0.08	μB/atom
! formation energy (no corrections)	-1002	meV/atom
! space-group type	C2/m (12)
! DOS(E_F)	0.844	states/eV per atom

***

(11)
! SrAc3Ce2N6 | the Alexandria database | PBE-GGA | relaxed; values from VASP
&SYSTEM
  ibrav = 0, nat = 12, ntyp = 4
/
ATOMIC_SPECIES
Sr 87.62 Sr.upf
Ac 227.00 Ac.upf
Ce 140.12 Ce.upf
N 14.01 N.upf
CELL_PARAMETERS angstrom
8.202 -1.890 0.000
8.202 1.890 0.000
-1.785 0.000 7.315
ATOMIC_POSITIONS crystal
Sr 0.000 0.000 0.000
Ac 0.000 0.000 0.500
Ac 0.333 0.333 0.167
Ac 0.667 0.667 0.833
Ce 0.332 0.332 0.667
Ce 0.668 0.668 0.333
N 0.175 0.175 0.102
N 0.177 0.177 0.568
N 0.477 0.477 0.728
N 0.523 0.523 0.272
N 0.823 0.823 0.432
N 0.825 0.825 0.898
! total energy	-89.513	eV per formula unit
! size of the total moment	0.00	μB/atom
! formation energy (no corrections)	-1141	meV/atom
! space-group type	C2/m (12)
! DOS(E_F)	0.412	states/eV per atom

***

(12)
! AcCeTaN3 | the Alexandria database | PBE-GGA | relaxed; values from VASP
&SYSTEM
  ibrav = 0, nat = 12, ntyp = 4
/
ATOMIC_SPECIES
Ac 227.00 Ac.upf
Ce 140.12 Ce.upf
Ta 180.95 Ta.upf
N 14.01 N.upf
CELL_PARAMETERS angstrom
7.828 0.000 0.000
0.000 3.626 0.000
-1.015 0.000 8.008
ATOMIC_POSITIONS crystal
Ac 0.167 0.250 0.166
Ac 0.833 0.750 0.834
Ce 0.376 0.750 0.838
Ce 0.624 0.250 0.162
Ta 0.110 0.250 0.596
Ta 0.890 0.750 0.404
N 0.119 0.250 0.842
N 0.164 0.750 0.494
N 0.409 0.750 0.117
N 0.591 0.250 0.883
N 0.836 0.250 0.506
N 0.881 0.750 0.158
! total energy	-52.974	eV per formula unit
! size of the total moment	0.00	μB/atom
! formation energy (no corrections)	-1017	meV/atom
! space-group type	P2_1/m (11)
! DOS(E_F)	0.746	states/eV per atom